The following is a GGA-PBE calculation of a relaxed SiTeAs2 crystal, from Alexandria.

abc: 3.8477 3.8477 20.3454
angles: 90.00 90.00 120.00
Space group R-3m (No. 166, hexagonal axes)
Symmetry-distinct sites (fractional):
Si 0.0000 0.0000 0.0000
Te 0.0000 0.0000 0.5000
As 0.0000 0.0000 0.2661

Summary:
The relative energy among the computed polymorphs is 18.9 meV per atom. As for the total magnetization: 0.0 μB per formula unit. The uncorrected formation energy comes out at 0.1585 eV/atom.


The following is a GGA-PBE calculation of a relaxed Si2TeAs crystal, from Alexandria.

abc: 10.402 3.425 6.729
angles: 90.00 127.15 90.00
Space group Cm (No. 8)
Symmetry-distinct sites (fractional):
Si 0.000 0.000 0.000
Si 0.228 0.500 0.177
Te 0.423 0.000 0.584
As 0.320 0.000 0.992

Summary:
The relative energy among the computed polymorphs is 283.0 meV per atom. As for the total magnetization: 0.0 μB per formula unit. The uncorrected formation energy comes out at 0.4013 eV/atom.


The following is a GGA-PBE calculation of a relaxed SiTeAs2 crystal, from Alexandria.

abc: 3.822 4.243 11.118
angles: 90.00 90.00 90.00
Space group Imm2 (No. 44)
Symmetry-distinct sites (fractional):
Si 0.000 0.000 0.000
Te 0.000 0.500 0.693
As 0.000 0.000 0.504
As 0.000 0.500 0.342

Summary:
The relative energy among the computed polymorphs is 204.1 meV per atom. As for the total magnetization: 0.0 μB per formula unit. The uncorrected formation energy comes out at 0.3437 eV/atom.